(1)
Crystalline TbHfIrRu at its relaxed geometry. Source: the Alexandria database, functional GGA-PBE.

a = 6.678 Å, b = 6.678 Å, c = 6.678 Å
α = 90.00°, β = 90.00°, γ = 90.00°
Space group F-43m (No. 216)
Asymmetric unit:
Tb 0.000 0.000 0.000 (multiplicity 4)
Hf 0.000 0.000 0.500 (multiplicity 4)
Ir 0.250 0.250 0.750 (multiplicity 4)
Ru 0.250 0.250 0.250 (multiplicity 4)

Computed properties:
M_tot = 0.000 μB/f.u.
ΔH_f (0 K) = -692.5 meV per atom

***

(2)
Crystalline HfTcIrRu2 at its relaxed geometry. Source: the Alexandria database, functional GGA-PBE.

a = 4.511 Å, b = 4.511 Å, c = 4.880 Å
α = 90.00°, β = 90.00°, γ = 90.00°
Space group P4/mmm (No. 123)
Asymmetric unit:
Hf 0.000 0.000 0.000 (multiplicity 1)
Tc 0.000 0.000 0.500 (multiplicity 1)
Ir 0.500 0.500 0.000 (multiplicity 1)
Ru 0.000 0.500 0.500 (multiplicity 2)

Computed properties:
M_tot = 0.000 μB/f.u.
ΔH_f (0 K) = 1346.1 meV per atom

***

(3)
Crystalline HfTeIr2Ru at its relaxed geometry. Source: the Alexandria database, functional GGA-PBE.

a = 4.806 Å, b = 4.806 Å, c = 5.346 Å
α = 90.00°, β = 90.00°, γ = 90.00°
Space group P4/mmm (No. 123)
Asymmetric unit:
Hf 0.000 0.000 0.000 (multiplicity 1)
Te 0.000 0.000 0.500 (multiplicity 1)
Ir 0.000 0.500 0.000 (multiplicity 2)
Ru 0.500 0.500 0.500 (multiplicity 1)

Computed properties:
M_tot = 3.105 μB/f.u.
Uncorrected formation energy = 1.6289 eV per atom

***

(4)
Crystalline Hf2TlIrRu at its relaxed geometry. Source: the Alexandria database, functional GGA-PBE.

a = 5.174 Å, b = 5.174 Å, c = 4.827 Å
α = 90.00°, β = 90.00°, γ = 90.00°
Space group P4/mmm (No. 123)
Asymmetric unit:
Hf 0.000 0.500 0.000 (multiplicity 2)
Tl 0.000 0.000 0.000 (multiplicity 1)
Ir 0.000 0.000 0.500 (multiplicity 1)
Ru 0.500 0.500 0.500 (multiplicity 1)

Computed properties:
M_tot = 1.479 μB/f.u.
ΔH_f (0 K) = 1970.4 meV per atom

***

Copy entry 2 word for word.
Crystalline HfTcIrRu2 at its relaxed geometry. Source: the Alexandria database, functional GGA-PBE.

a = 4.511 Å, b = 4.511 Å, c = 4.880 Å
α = 90.00°, β = 90.00°, γ = 90.00°
Space group P4/mmm (No. 123)
Asymmetric unit:
Hf 0.000 0.000 0.000 (multiplicity 1)
Tc 0.000 0.000 0.500 (multiplicity 1)
Ir 0.500 0.500 0.000 (multiplicity 1)
Ru 0.000 0.500 0.500 (multiplicity 2)

Computed properties:
M_tot = 0.000 μB/f.u.
ΔH_f (0 K) = 1346.1 meV per atom

***

What is the M_tot in the first record? 0.000 μB/f.u.

***

The highest M_tot belongs to which entry? HfTeIr2Ru